KTeW2: relaxed, PBE-GGA.

ΔE_f (raw): 1104.6 meV/atom
total moment: 0.00 Bohr magnetons per cell
DOS at the Fermi energy: 2.6 states/eV per cell

```
KTeW2
1.0
-3.8610 5.2427 -0.6020
-4.3832 1.0240 4.7429
6.1332 -0.3787 -2.2354
W Te K
2 1 1
direct
0.8157 0.3157 0.5000
0.9803 0.9803 0.0000
0.2057 0.7057 0.5000
0.4983 0.4983 0.0000
```